# 1
# NbSiOs3 | the Alexandria database | PBE | optimized geometry
# - spin magnetization (μB per formula unit) = 0.393
# - energy relative to the lowest polymorph listed for this composition (eV/atom) = 1.650
# - final energy (eV per formula unit) = -36.9
# - E_form (uncorrected) (eV per atom) = 2.4470
data_NbSiOs3
_chemical_formula_sum 'Nb1 Si1 Os3'
_symmetry_space_group_name_H-M 'P m -3 m'
_symmetry_Int_Tables_number 221
_symmetry_space_group_name_Hall '-P 4 2 3'
_cell_length_a 4.7552
_cell_length_b 4.7552
_cell_length_c 4.7552
_cell_angle_alpha 90.00
_cell_angle_beta 90.00
_cell_angle_gamma 90.00
loop_
_atom_site_label
_atom_site_fract_x
_atom_site_fract_y
_atom_site_fract_z
Nb1 0.0000 0.0000 0.0000
Si1 0.5000 0.5000 0.5000
Os1 0.0000 0.0000 0.5000

# 2
# MgIn2Cu | the Alexandria database | PBE | optimized geometry
# - spin magnetization (μB per formula unit) = 0.000
# - final energy (eV per formula unit) = -11.0
# - calculated formation energy (meV per atom) = 49
data_MgIn2Cu
_chemical_formula_sum 'Mg2 In4 Cu2'
_symmetry_space_group_name_H-M 'C 1 2/m 1'
_symmetry_Int_Tables_number 12
_cell_length_a 9.4146
_cell_length_b 3.1259
_cell_length_c 5.9848
_cell_angle_alpha 90.00
_cell_angle_beta 105.49
_cell_angle_gamma 90.00
loop_
_symmetry_equiv_pos_as_xyz
'x,y,z'
'-x,-y,-z'
'-x,y,-z'
'x,-y,z'
'x+1/2,y+1/2,z'
'-x+1/2,-y+1/2,-z'
'-x+1/2,y+1/2,-z'
'x+1/2,-y+1/2,z'
loop_
_atom_site_label
_atom_site_fract_x
_atom_site_fract_y
_atom_site_fract_z
Mg1 0.0000 0.0000 0.0000
In1 0.2362 0.0000 0.7277
Cu1 0.0000 0.5000 0.5000

# 3
# Cs9Rb6H | the Alexandria database | PBE | optimized geometry
# - spin magnetization (μB per formula unit) = 0.000
# - final energy (eV per formula unit) = -16.6
data_Cs9Rb6H
_chemical_formula_sum 'Cs18 Rb12 H2'
_symmetry_space_group_name_H-M 'I 4/m'
_symmetry_Int_Tables_number 87
_symmetry_space_group_name_Hall '-I 4'
_cell_length_a 11.7112
_cell_length_b 11.7112
_cell_length_c 22.1006
_cell_angle_alpha 90.00
_cell_angle_beta 90.00
_cell_angle_gamma 90.00
loop_
_atom_site_label
_atom_site_fract_x
_atom_site_fract_y
_atom_site_fract_z
Cs1 0.0000 0.0000 0.0000
Cs2 0.1007 0.3003 0.1633
Rb1 0.0000 0.0000 0.3520
Rb2 0.0791 0.2647 0.5000
H1 0.0000 0.0000 0.5000

# 4
# UNiIr | the Alexandria database | PBE | optimized geometry
# - spin magnetization (μB per formula unit) = 0.564
# - energy relative to the lowest polymorph listed for this composition (eV/atom) = 0.288
# - final energy (eV per formula unit) = -26.5
# - calculated formation energy (meV per atom) = -179
data_UNiIr
_chemical_formula_sum 'U2 Ni2 Ir2'
_symmetry_space_group_name_H-M 'I 4 m m'
_symmetry_Int_Tables_number 107
_symmetry_space_group_name_Hall 'I 4 -2'
_cell_length_a 3.4696
_cell_length_b 3.4696
_cell_length_c 8.5366
_cell_angle_alpha 90.00
_cell_angle_beta 90.00
_cell_angle_gamma 90.00
loop_
_atom_site_label
_atom_site_fract_x
_atom_site_fract_y
_atom_site_fract_z
U1 0.0000 0.0000 0.0000
Ni1 0.0000 0.0000 0.3265
Ir1 0.0000 0.0000 0.6599

# 5
# CrCuSnSe4 | the Alexandria database | PBE | optimized geometry
# - spin magnetization (μB per formula unit) = 2.922
# - final energy (eV per formula unit) = -34.5
# - E_form (uncorrected) (eV per atom) = -0.4110
data_CrCuSnSe4
_chemical_formula_sum 'Cr4 Cu4 Sn4 Se16'
_symmetry_space_group_name_H-M 'I m m a'
_symmetry_Int_Tables_number 74
_symmetry_space_group_name_Hall '-I 2b 2'
_cell_length_a 7.5837
_cell_length_b 7.7185
_cell_length_c 10.8074
_cell_angle_alpha 90.00
_cell_angle_beta 90.00
_cell_angle_gamma 90.00
loop_
_atom_site_label
_atom_site_fract_x
_atom_site_fract_y
_atom_site_fract_z
Cr1 0.2500 0.2500 0.2500
Cu1 0.0000 0.2500 0.6325
Sn1 0.0000 0.0000 0.0000
Se1 0.0000 0.0236 0.2518
Se2 0.2453 0.2500 0.4863

# 6
# Na5In2Pb5 | the Alexandria database | PBE | optimized geometry
# - spin magnetization (μB per formula unit) = 0.000
# - energy relative to the lowest polymorph listed for this composition (eV/atom) = 0.000
# - final energy (eV per formula unit) = -32.0
# - calculated formation energy (meV per atom) = -111
data_Na5In2Pb5
_chemical_formula_sum 'Na10 In4 Pb10'
_symmetry_space_group_name_H-M 'C 1 2/m 1'
_symmetry_Int_Tables_number 12
_cell_length_a 10.8955
_cell_length_b 5.5078
_cell_length_c 12.2121
_cell_angle_alpha 90.00
_cell_angle_beta 108.19
_cell_angle_gamma 90.00
loop_
_symmetry_equiv_pos_as_xyz
'x,y,z'
'-x,-y,-z'
'-x,y,-z'
'x,-y,z'
'x+1/2,y+1/2,z'
'-x+1/2,-y+1/2,-z'
'-x+1/2,y+1/2,-z'
'x+1/2,-y+1/2,z'
loop_
_atom_site_label
_atom_site_fract_x
_atom_site_fract_y
_atom_site_fract_z
Na1 0.0000 0.0000 0.0000
Na2 0.0961 0.0000 0.7575
Na3 0.1679 0.0000 0.5026
In1 0.0797 0.5000 0.2572
Pb1 0.0000 0.5000 0.5000
Pb2 0.1615 0.5000 0.9793
Pb3 0.2395 0.0000 0.2560

# 7
# MgAlCd2 | the Alexandria database | PBE | optimized geometry
# - spin magnetization (μB per formula unit) = 0.000
# - final energy (eV per formula unit) = -7.1
# - calculated formation energy (meV per atom) = 24
data_MgAlCd2
_chemical_formula_sum 'Mg2 Al2 Cd4'
_symmetry_space_group_name_H-M 'I -4 m 2'
_symmetry_Int_Tables_number 119
_symmetry_space_group_name_Hall 'I -4 -2'
_cell_length_a 4.3453
_cell_length_b 4.3453
_cell_length_c 8.8353
_cell_angle_alpha 90.00
_cell_angle_beta 90.00
_cell_angle_gamma 90.00
loop_
_atom_site_label
_atom_site_fract_x
_atom_site_fract_y
_atom_site_fract_z
Mg1 0.0000 0.0000 0.0000
Al1 0.0000 0.5000 0.7500
Cd1 0.0000 0.0000 0.5000
Cd2 0.0000 0.5000 0.2500

# 8
# AgH2Rh | the Alexandria database | PBE | optimized geometry
# - spin magnetization (μB per formula unit) = 0.000
# - energy relative to the lowest polymorph listed for this composition (eV/atom) = 0.009
# - final energy (eV per formula unit) = -16.8
data_AgH2Rh
_chemical_formula_sum 'Ag3 H6 Rh3'
_symmetry_space_group_name_H-M 'R -3 m'
_symmetry_Int_Tables_number 166
_symmetry_space_group_name_Hall '-R 3 2"'
_cell_length_a 2.9834
_cell_length_b 2.9834
_cell_length_c 15.3904
_cell_angle_alpha 90.00
_cell_angle_beta 90.00
_cell_angle_gamma 120.00
loop_
_atom_site_label
_atom_site_fract_x
_atom_site_fract_y
_atom_site_fract_z
Ag1 0.0000 0.0000 0.0000
H1 0.0000 0.0000 0.1260
Rh1 0.0000 0.0000 0.5000

# 9
# LaCeMoN4 | the Alexandria database | PBE | optimized geometry
# - spin magnetization (μB per formula unit) = 0.231
# - final energy (eV per formula unit) = -62.5
# - E_form (uncorrected) (eV per atom) = -1.0684
data_LaCeMoN4
_chemical_formula_sum 'La4 Ce4 Mo4 N16'
_symmetry_space_group_name_H-M 'C m c m'
_symmetry_Int_Tables_number 63
_symmetry_space_group_name_Hall '-C 2c 2'
_cell_length_a 5.5799
_cell_length_b 12.6632
_cell_length_c 5.6185
_cell_angle_alpha 90.00
_cell_angle_beta 90.00
_cell_angle_gamma 90.00
loop_
_atom_site_label
_atom_site_fract_x
_atom_site_fract_y
_atom_site_fract_z
La1 0.0000 0.1081 0.2500
Ce1 0.0000 0.3977 0.2500
Mo1 0.0000 0.2361 0.7500
N1 0.0000 0.0822 0.7500
N2 0.0000 0.4330 0.7500
N3 0.2500 0.2500 0.0000

# 10
# Nb14VPt | the Alexandria database | PBE | optimized geometry
# - spin magnetization (μB per formula unit) = 0.000
# - final energy (eV per formula unit) = -158.2
# - calculated formation energy (meV per atom) = -130
data_Nb14VPt
_chemical_formula_sum 'Nb14 V1 Pt1'
_symmetry_space_group_name_H-M 'P 4/m m m'
_symmetry_Int_Tables_number 123
_symmetry_space_group_name_Hall '-P 4 2'
_cell_length_a 6.5717
_cell_length_b 6.5717
_cell_length_c 6.5715
_cell_angle_alpha 90.00
_cell_angle_beta 90.00
_cell_angle_gamma 90.00
loop_
_atom_site_label
_atom_site_fract_x
_atom_site_fract_y
_atom_site_fract_z
Nb1 0.0000 0.0000 0.0000
Nb2 0.0000 0.5000 0.0000
Nb3 0.0000 0.5000 0.5000
Nb4 0.2472 0.2472 0.2521
Nb5 0.5000 0.5000 0.0000
V1 0.0000 0.0000 0.5000
Pt1 0.5000 0.5000 0.5000

# 11
# Tl3CrSe | the Alexandria database | PBE | optimized geometry
# - spin magnetization (μB per formula unit) = 5.056
# - energy relative to the lowest polymorph listed for this composition (eV/atom) = 0.312
# - final energy (eV per formula unit) = -16.8
# - E_form (uncorrected) (eV per atom) = 0.6877
data_Tl3CrSe
_chemical_formula_sum 'Tl3 Cr1 Se1'
_symmetry_space_group_name_H-M 'P m -3 m'
_symmetry_Int_Tables_number 221
_symmetry_space_group_name_Hall '-P 4 2 3'
_cell_length_a 5.8365
_cell_length_b 5.8365
_cell_length_c 5.8365
_cell_angle_alpha 90.00
_cell_angle_beta 90.00
_cell_angle_gamma 90.00
loop_
_atom_site_label
_atom_site_fract_x
_atom_site_fract_y
_atom_site_fract_z
Tl1 0.0000 0.0000 0.5000
Cr1 0.5000 0.5000 0.5000
Se1 0.0000 0.0000 0.0000

# 12
# ErPu2PaBi4 | the Alexandria database | PBE | optimized geometry
# - spin magnetization (μB per formula unit) = 0.065
# - final energy (eV per formula unit) = -61.4
# - calculated formation energy (meV per atom) = -396
data_ErPu2PaBi4
_chemical_formula_sum 'Er1 Pu2 Pa1 Bi4'
_symmetry_space_group_name_H-M 'P 1 2/m 1'
_symmetry_Int_Tables_number 10
_cell_length_a 7.7883
_cell_length_b 4.5060
_cell_length_c 7.8056
_cell_angle_alpha 90.00
_cell_angle_beta 109.51
_cell_angle_gamma 90.00
loop_
_symmetry_equiv_pos_as_xyz
'x,y,z'
'-x,-y,-z'
'-x,y,-z'
'x,-y,z'
loop_
_atom_site_label
_atom_site_fract_x
_atom_site_fract_y
_atom_site_fract_z
Er1 0.0000 0.0000 0.0000
Pu1 0.5000 0.0000 0.5000
Pu2 0.5000 0.5000 0.0000
Pa1 0.0000 0.5000 0.5000
Bi1 0.2429 0.0000 0.7485
Bi2 0.2428 0.5000 0.2485

| no. | DOS(E_F) (states/eV/cell) |
| --- | --- |
| 1 | 7.23 |
| 2 | 2.07 |
| 3 | 29.18 |
| 4 | 8.82 |
| 5 | 8.02 |
| 6 | 8.79 |
| 7 | 2.93 |
| 8 | 6.05 |
| 9 | 16.97 |
| 10 | 17.39 |
| 11 | 3.21 |
| 12 | 34.29 |